{"formula": "NdGa2", "functional": "GGA-PBE", "state": "relaxed", "cell": [[0.000, 3.985, 3.985], [3.985, 0.000, 3.985], [3.985, 3.985, 0.000]], "species": ["Nd", "Nd", "Ga", "Ga", "Ga", "Ga"], "fractional_positions": [[0.125, 0.125, 0.125], [0.875, 0.875, 0.875], [0.000, 0.500, 0.500], [0.500, 0.000, 0.500], [0.500, 0.500, 0.000], [0.500, 0.500, 0.500]], "total_magnetization_mub_per_fu": 0.00, "total_energy_ev_per_atom": -4.175}